Entry 1:
Density functional theory data (PBE-GGA) for a relaxed structure of AcUAl.

Cell lengths 5.111, 5.111, 5.111 Å; angles 60.00, 60.00, 60.00 degrees
Element x y z (fractional)
1 Ac 0.250 0.250 0.250
2 Al 0.000 0.000 0.000
3 U 0.750 0.750 0.750

Its space group is F-43m (216). The energy above the lowest structure with this stoichiometry comes out at 0 meV per atom. The value obtained for the total energy is -17.115 eV per cell.


Entry 2:
Density functional theory data (PBE-GGA) for a relaxed structure of NaCuPdSe3.

Cell lengths 8.382, 3.971, 14.898 Å; angles 90.00, 90.00, 90.00 degrees
Element x y z (fractional)
1 Cu 0.224 0.750 0.132
2 Cu 0.724 0.750 0.368
3 Cu 0.276 0.250 0.632
4 Cu 0.776 0.250 0.868
5 Na 0.450 0.250 0.206
6 Na 0.950 0.250 0.294
7 Na 0.050 0.750 0.706
8 Na 0.550 0.750 0.794
9 Pd 0.838 0.750 0.061
10 Pd 0.338 0.750 0.439
11 Pd 0.662 0.250 0.561
12 Pd 0.162 0.250 0.939
13 Se 0.658 0.250 0.011
14 Se 0.035 0.250 0.093
15 Se 0.698 0.750 0.214
16 Se 0.198 0.750 0.286
17 Se 0.535 0.250 0.407
18 Se 0.158 0.250 0.489
19 Se 0.842 0.750 0.511
20 Se 0.465 0.750 0.593
21 Se 0.802 0.250 0.714
22 Se 0.302 0.250 0.786
23 Se 0.965 0.750 0.907
24 Se 0.342 0.750 0.989

Its space group is Pnma (62). The energy above the lowest structure with this stoichiometry comes out at 71 meV per atom. The value obtained for the total energy is -91.068 eV per cell.


Entry 3:
Density functional theory data (PBE-GGA) for a relaxed structure of TbNdCd2Au4.

Cell lengths 4.985, 4.985, 7.042 Å; angles 90.00, 90.00, 90.00 degrees
Element x y z (fractional)
1 Au 0.500 0.000 0.259
2 Au 0.000 0.500 0.259
3 Au 0.500 0.000 0.741
4 Au 0.000 0.500 0.741
5 Cd 0.500 0.500 0.000
6 Cd 0.000 0.000 0.500
7 Nd 0.000 0.000 0.000
8 Tb 0.500 0.500 0.500

Its space group is P4/mmm (123). The value obtained for the total energy is -29.556 eV per cell. As for the energy of formation: -0.663 eV/atom.


Entry 4:
Density functional theory data (PBE-GGA) for a relaxed structure of ThAgIr.

Cell lengths 4.713, 4.713, 4.713 Å; angles 60.00, 60.00, 60.00 degrees
Element x y z (fractional)
1 Ag 0.750 0.750 0.750
2 Ir 0.000 0.000 0.000
3 Th 0.250 0.250 0.250

Its space group is F-43m (216). The energy above the lowest structure with this stoichiometry comes out at 0 meV per atom. The value obtained for the total energy is -20.154 eV per cell. As for the energy of formation: -0.354 eV/atom.


Entry 5:
Density functional theory data (PBE-GGA) for a relaxed structure of BaSrCdSbAs.

Cell lengths 9.195, 9.195, 8.140 Å; angles 90.00, 90.00, 150.36 degrees
Element x y z (fractional)
1 As 0.563 0.437 0.069
2 As 0.437 0.563 0.569
3 Ba 0.967 0.033 0.272
4 Ba 0.033 0.967 0.772
5 Cd 0.596 0.404 0.417
6 Cd 0.404 0.596 0.917
7 Sb 0.820 0.180 0.006
8 Sb 0.180 0.820 0.506
9 Sr 0.195 0.805 0.102
10 Sr 0.805 0.195 0.602

Its space group is Cmc2_1 (36). The energy above the lowest structure with this stoichiometry comes out at 69 meV per atom. The value obtained for the total energy is -35.217 eV per cell.


Entry 6:
Density functional theory data (PBE-GGA) for a relaxed structure of CsNd2CuTe3Se.

Cell lengths 8.108, 8.108, 15.722 Å; angles 90.00, 90.00, 148.33 degrees
Element x y z (fractional)
1 Cs 0.885 0.115 0.250
2 Cs 0.115 0.885 0.750
3 Cu 0.162 0.838 0.250
4 Cu 0.838 0.162 0.750
5 Nd 0.625 0.375 0.059
6 Nd 0.625 0.375 0.441
7 Nd 0.375 0.625 0.559
8 Nd 0.375 0.625 0.941
9 Se 0.000 0.000 0.000
10 Se 0.000 0.000 0.500
11 Te 0.258 0.742 0.110
12 Te 0.569 0.431 0.250
13 Te 0.258 0.742 0.390
14 Te 0.742 0.258 0.610
15 Te 0.431 0.569 0.750
16 Te 0.742 0.258 0.890

Its space group is Cmcm (63). The energy above the lowest structure with this stoichiometry comes out at 21 meV per atom. The value obtained for the total energy is -73.682 eV per cell.


Entry 7:
Density functional theory data (PBE-GGA) for a relaxed structure of RbFeSe2.

Cell lengths 13.858, 12.347, 7.457 Å; angles 85.01, 62.57, 32.42 degrees
Element x y z (fractional)
1 Fe 0.000 0.000 0.000
2 Fe 0.250 0.250 0.250
3 Fe 0.500 0.500 0.500
4 Fe 0.750 0.750 0.750
5 Rb 0.679 0.679 0.321
6 Rb 0.929 0.929 0.571
7 Rb 0.321 0.321 0.679
8 Rb 0.571 0.571 0.929
9 Se 0.653 0.955 0.040
10 Se 0.597 0.295 0.210
11 Se 0.898 0.210 0.295
12 Se 0.955 0.653 0.352
13 Se 0.210 0.898 0.597
14 Se 0.040 0.352 0.653
15 Se 0.295 0.597 0.898
16 Se 0.352 0.040 0.955

Its space group is Fddd (70). The value obtained for the total energy is -75.684 eV per cell.


Entry 8:
Density functional theory data (PBE-GGA) for a relaxed structure of Pr3Bi2N.

Cell lengths 4.132, 4.132, 11.341 Å; angles 90.00, 90.00, 120.00 degrees
Element x y z (fractional)
1 Bi 0.667 0.333 0.188
2 Bi 0.333 0.667 0.812
3 N 0.000 0.000 0.500
4 Pr 0.000 0.000 0.000
5 Pr 0.333 0.667 0.383
6 Pr 0.667 0.333 0.617

Its space group is P-3m1 (164). The value obtained for the total energy is -35.765 eV per cell.


Entry 9:
Density functional theory data (PBE-GGA) for a relaxed structure of Dy2Tc.

Cell lengths 4.774, 4.774, 4.774 Å; angles 60.00, 60.00, 60.00 degrees
Element x y z (fractional)
1 Dy 0.250 0.250 0.250
2 Dy 0.750 0.750 0.750
3 Tc 0.000 0.000 0.000

Its space group is Fm-3m (225). The energy above the lowest structure with this stoichiometry comes out at 0 meV per atom. The value obtained for the total energy is -19.114 eV per cell. As for the energy of formation: 0.150 eV/atom.


Entry 10:
Density functional theory data (PBE-GGA) for a relaxed structure of YB4W.

Cell lengths 6.038, 11.669, 3.624 Å; angles 90.00, 90.00, 90.00 degrees
Element x y z (fractional)
1 B 0.866 0.032 0.500
2 B 0.386 0.047 0.500
3 B 0.787 0.186 0.500
4 B 0.476 0.193 0.500
5 B 0.976 0.307 0.500
6 B 0.287 0.314 0.500
7 B 0.886 0.453 0.500
8 B 0.366 0.468 0.500
9 B 0.634 0.532 0.500
10 B 0.114 0.547 0.500
11 B 0.713 0.686 0.500
12 B 0.024 0.693 0.500
13 B 0.524 0.807 0.500
14 B 0.213 0.814 0.500
15 B 0.614 0.953 0.500
16 B 0.134 0.968 0.500
17 W 0.631 0.084 0.000
18 W 0.131 0.416 0.000
19 W 0.869 0.584 0.000
20 W 0.369 0.916 0.000
21 Y 0.127 0.150 0.000
22 Y 0.627 0.350 0.000
23 Y 0.373 0.650 0.000
24 Y 0.873 0.850 0.000

Its space group is Pbam (55). The energy above the lowest structure with this stoichiometry comes out at 0 meV per atom. The value obtained for the total energy is -198.613 eV per cell.


Entry 11:
Density functional theory data (PBE-GGA) for a relaxed structure of Pr3NdCu4.

Cell lengths 5.619, 4.602, 7.378 Å; angles 90.00, 90.10, 90.00 degrees
Element x y z (fractional)
1 Cu 0.875 0.000 0.033
2 Cu 0.375 0.500 0.466
3 Cu 0.625 0.000 0.532
4 Cu 0.126 0.500 0.968
5 Nd 0.367 0.000 0.181
6 Pr 0.868 0.500 0.319
7 Pr 0.133 0.000 0.681
8 Pr 0.632 0.500 0.820

Its space group is Pm (6). The value obtained for the total energy is -35.343 eV per cell. As for the energy of formation: -0.173 eV/atom.


Entry 12:
Density functional theory data (PBE-GGA) for a relaxed structure of Pr2SmNi3Pt6.

Cell lengths 9.014, 9.014, 9.014 Å; angles 35.21, 35.21, 35.21 degrees
Element x y z (fractional)
1 Ni 0.333 0.333 0.333
2 Ni 0.500 0.500 0.500
3 Ni 0.667 0.667 0.667
4 Pr 0.140 0.140 0.140
5 Pr 0.860 0.860 0.860
6 Pt 0.582 0.582 0.081
7 Pt 0.919 0.418 0.418
8 Pt 0.418 0.919 0.418
9 Pt 0.582 0.081 0.582
10 Pt 0.081 0.582 0.582
11 Pt 0.418 0.418 0.919
12 Sm 0.000 0.000 0.000

Its space group is R-3m (166). The value obtained for the total energy is -76.566 eV per cell. As for the energy of formation: -0.772 eV/atom.